The following is a GGA+U calculation of crystalline K2VGaO5 at its relaxed geometry, from Alexandria.

Theoretical density, g cm⁻³: 3.22
Symmetry: Cmc2_1 (36)
Final energy, Ha/atom: -0.218

Structure (POSCAR):
```
K2VGaO5
1.0
1.661 -8.945 0.000
1.661 8.945 0.000
0.000 0.000 9.677
K V Ga O
4 2 2 10
Direct
0.038 0.962 0.500 K
0.147 0.853 0.198 K
0.853 0.147 0.698 K
0.962 0.038 0.000 K
0.369 0.631 0.324 V
0.631 0.369 0.824 V
0.282 0.718 0.992 Ga
0.718 0.282 0.492 Ga
0.119 0.881 0.910 O
0.274 0.726 0.488 O
0.303 0.697 0.195 O
0.367 0.633 0.898 O
0.451 0.549 0.238 O
0.549 0.451 0.738 O
0.633 0.367 0.398 O
0.697 0.303 0.695 O
0.726 0.274 0.988 O
0.881 0.119 0.410 O
```